[1]
YBOsRu2: relaxed, GGA-PBE.

The structure in POSCAR format:
```
YBOsRu2
1.0
-2.701 2.405 2.189
-0.881 -3.281 2.517
3.108 1.144 2.579
Ru Y B Os
2 1 1 1
Direct
0.500 0.000 0.000
0.000 0.500 0.000
0.500 0.500 0.500
0.000 0.000 0.000
0.000 0.000 0.500
```

Total moment: 0.0 μB/f.u.
ρ: 10.89 g cm⁻³
Energy of formation: -0.2022 eV per atom

***

[2]
HgClO2: relaxed, GGA-PBE.

The structure in POSCAR format:
```
HgClO2
1.0
0.000 3.061 3.061
3.061 0.000 3.061
3.061 3.061 0.000
O Hg Cl
2 1 1
Direct
0.250 0.250 0.250
0.750 0.750 0.750
0.500 0.500 0.500
0.000 0.000 0.000
```

Total moment: 3.0 μB/f.u.
Formation energy from raw total energies: 86.1 kJ/mol of atoms
ρ: 7.76 g cm⁻³
Offset from the most stable computed form: 996.5 meV/atom

***

[3]
La2TaRh: relaxed, GGA-PBE.

The structure in POSCAR format:
```
La2TaRh
1.0
5.353 0.000 0.000
0.000 5.353 0.000
0.000 0.000 3.398
La Rh Ta
2 1 1
Direct
0.000 0.500 0.000
0.500 0.000 0.000
0.500 0.500 0.500
0.000 0.000 0.500
```

Total moment: 0.0 μB/f.u.
ρ: 9.58 g cm⁻³
Offset from the most stable computed form: 298.2 meV/atom
Energy of formation: 0.1699 eV per atom

***

[4]
La3SnO6: relaxed, GGA-PBE.

The structure in POSCAR format:
```
La3SnO6
1.0
7.090 -0.145 -0.296
-0.303 7.085 -0.296
-0.142 -0.145 7.095
Sn O La
2 12 6
Direct
0.000 0.000 0.000
0.500 0.500 0.500
0.537 0.416 0.211
0.211 0.537 0.416
0.416 0.211 0.537
0.669 0.107 0.942
0.463 0.584 0.789
0.331 0.893 0.058
0.893 0.058 0.331
0.942 0.669 0.107
0.058 0.331 0.893
0.789 0.463 0.584
0.584 0.789 0.463
0.107 0.942 0.669
0.257 0.563 0.070
0.930 0.743 0.437
0.437 0.930 0.743
0.563 0.070 0.257
0.070 0.257 0.563
0.743 0.437 0.930
```

Total moment: 0.0 μB/f.u.
Formation energy from raw total energies: -283.5 kJ/mol of atoms
ρ: 5.90 g cm⁻³
Offset from the most stable computed form: 0.0 meV/atom

***

[5]
NaCrCo2S: relaxed, GGA-PBE.

The structure in POSCAR format:
```
NaCrCo2S
1.0
-3.521 -2.184 0.684
2.594 -3.117 3.403
-1.001 2.599 3.143
Cr S Co Na
1 1 2 1
Direct
0.000 0.000 0.000
0.500 0.500 0.500
0.000 0.000 0.500
0.500 0.000 0.000
0.000 0.500 0.000
```

Total moment: 3.6 μB/f.u.
Formation energy from raw total energies: 122.3 kJ/mol of atoms
ρ: 4.00 g cm⁻³

***

[6]
CaCoCl2: relaxed, GGA-PBE.

The structure in POSCAR format:
```
CaCoCl2
1.0
-6.741 8.487 1.258
-8.130 7.010 -1.953
-9.239 5.632 1.407
Co Ca Cl
1 1 2
Direct
0.250 0.250 0.250
0.750 0.750 0.750
0.466 0.466 0.466
0.034 0.034 0.034
```

Total moment: 2.1 μB/f.u.
Formation energy from raw total energies: -64.6 kJ/mol of atoms
ρ: 2.11 g cm⁻³
Offset from the most stable computed form: 258.4 meV/atom

***

[7]
Ti5MoRh4: relaxed, GGA-PBE.

The structure in POSCAR format:
```
Ti5MoRh4
1.0
3.149 0.000 0.000
0.000 3.149 0.000
0.000 0.000 15.287
Rh Ti Mo
4 5 1
Direct
0.000 0.000 0.599
0.000 0.000 0.206
0.000 0.000 0.401
0.000 0.000 0.794
0.500 0.500 0.500
0.500 0.500 0.902
0.500 0.500 0.699
0.500 0.500 0.301
0.500 0.500 0.098
0.000 0.000 0.000
```

Total moment: 0.0 μB/f.u.
ρ: 8.18 g cm⁻³
Energy of formation: -0.6684 eV per atom

***

[8]
YGeSbI2: relaxed, GGA-PBE.

The structure in POSCAR format:
```
YGeSbI2
1.0
-5.331 2.278 -0.524
-1.125 -1.358 5.548
2.178 5.509 1.790
Ge Sb I Y
1 1 2 1
Direct
0.500 0.500 0.500
0.000 0.000 0.500
0.500 0.000 0.000
0.000 0.500 0.000
0.000 0.000 0.000
```

Total moment: 0.1 μB/f.u.
Formation energy from raw total energies: 1.2 kJ/mol of atoms
ρ: 4.25 g cm⁻³
Offset from the most stable computed form: 0.0 meV/atom

***

[9]
RbAuI2N: relaxed, GGA-PBE.

The structure in POSCAR format:
```
RbAuI2N
1.0
6.542 0.000 0.000
0.000 6.542 0.000
0.000 0.000 3.810
N Au Rb I
1 1 1 2
Direct
0.000 0.000 0.500
0.000 0.000 0.000
0.500 0.500 0.500
0.000 0.500 0.000
0.500 0.000 0.000
```

Total moment: 0.1 μB/f.u.
Formation energy from raw total energies: 16.2 kJ/mol of atoms
ρ: 5.60 g cm⁻³
Offset from the most stable computed form: 0.0 meV/atom

***

[10]
CaAgHgAs: relaxed, GGA-PBE.

The structure in POSCAR format:
```
CaAgHgAs
1.0
-2.529 2.200 3.749
-2.426 -2.815 3.388
1.724 -0.304 4.714
Ca Hg As Ag
1 1 1 1
Direct
0.750 0.750 0.750
0.000 0.000 0.000
0.500 0.500 0.500
0.250 0.250 0.250
```

Total moment: 0.0 μB/f.u.
ρ: 7.82 g cm⁻³
Energy of formation: -0.4017 eV per atom